# 1
A plane-wave DFT calculation with PBE was carried out for crystalline NaInGa3 at its relaxed geometry.

Its energy relative to the lowest polymorph listed for this composition is 0 meV/atom.

It has space group P6_3/mmc (No. 194), with a = 6.8071 Å, b = 6.8071 Å, c = 6.1705 Å, α = 90.00°, β = 90.00° and γ = 120.00°. Symmetry generates all atoms from Na at (0.3333, 0.6667, 0.2500), In at (0.0000, 0.0000, 0.0000) and Ga at (0.2045, 0.4089, 0.7500).

# 2
A plane-wave DFT calculation with PBE was carried out for crystalline NaIn2Ga at its relaxed geometry.

It has space group Pnma (No. 62), with a = 17.1684 Å, b = 7.9527 Å, c = 6.0280 Å, α = 90.00°, β = 90.00° and γ = 90.00°. Symmetry generates all atoms from Na at (0.1115, 0.2500, 0.2481), Na at (0.1433, 0.7500, 0.4800), In at (0.0290, 0.0450, 0.7339), In at (0.2162, 0.5481, 0.9861), Ga at (0.0723, 0.7500, 0.9861) and Ga at (0.1702, 0.2500, 0.7392).

# 3
A plane-wave DFT calculation with PBE was carried out for crystalline Na3In2Ga5 at its relaxed geometry.

It has space group Ibam (No. 72), with a = 12.4146 Å, b = 12.7036 Å, c = 6.1837 Å, α = 90.00°, β = 90.00° and γ = 90.00°. Symmetry generates all atoms from Na at (0.0000, 0.0000, 0.2500), Na at (0.2269, 0.3958, 0.0000), In at (0.1612, 0.1436, 0.0000), Ga at (0.0000, 0.2482, 0.2500), Ga at (0.0000, 0.5000, 0.2500) and Ga at (0.1207, 0.3672, 0.5000).

Sequential DFT formation energy output: 78 -81 -52 meV/atom
Sequential energy output: -2.55 -2.54 -2.51 eV/atom
Sequential total magnetic moment output: 0.00 0.00 0.00 μB/f.u.